# 1
CePmPr2 | PBE | optimized geometry

a = 3.5228 Å, b = 3.5228 Å, c = 38.1476 Å
α = 90.00°, β = 90.00°, γ = 120.00°
Space group R-3m (No. 166, hexagonal axes)
One atom of each set of equivalent atoms:
Ce: 0.0000 0.0000 0.0000
Pm: 0.0000 0.0000 0.5000
Pr: 0.0000 0.0000 0.0873

Properties
E (eV per atom): -4.86
Formation energy from the elements (eV per atom): 0.199
Crystal system: trigonal

---

# 2
CePm4Pr5 | PBE | optimized geometry

a = 18.2908 Å, b = 5.0581 Å, c = 8.9133 Å
α = 90.00°, β = 116.75°, γ = 90.00°
Space group C2/m (No. 12)
One atom of each set of equivalent atoms:
Ce: 0.0000 0.0000 0.0000
Pm: 0.0342 0.5000 0.7829
Pm: 0.1773 0.0000 0.9312
Pr: 0.0000 0.0000 0.5000
Pr: 0.1607 0.5000 0.2106
Pr: 0.1741 0.5000 0.6151

Properties
E (eV per atom): -4.65
Formation energy from the elements (eV per atom): 0.234
Crystal system: monoclinic

---

# 3
CePm10Pr4 | PBE | optimized geometry

a = 11.4739 Å, b = 11.4739 Å, c = 8.1015 Å
α = 90.00°, β = 90.00°, γ = 90.00°
Space group I4/mmm (No. 139)
One atom of each set of equivalent atoms:
Ce: 0.0000 0.0000 0.0000
Pm: 0.0000 0.2089 0.2915
Pm: 0.0000 0.5000 0.2500
Pr: 0.2261 0.2261 0.0000

Properties
E (eV per atom): -4.61
Formation energy from the elements (eV per atom): 0.231
Crystal system: tetragonal

---

# 4
CePm2Pr | PBE | optimized geometry

a = 3.5265 Å, b = 3.5265 Å, c = 37.4978 Å
α = 90.00°, β = 90.00°, γ = 120.00°
Space group R-3m (No. 166, hexagonal axes)
One atom of each set of equivalent atoms:
Ce: 0.0000 0.0000 0.0000
Pm: 0.0000 0.0000 0.4081
Pr: 0.0000 0.0000 0.5000

Properties
E (eV per atom): -4.89
Formation energy from the elements (eV per atom): 0.167
Crystal system: trigonal

---

# 5
CePm2Pr | PBE | optimized geometry

a = 3.5898 Å, b = 3.5898 Å, c = 10.3436 Å
α = 90.00°, β = 90.00°, γ = 90.00°
Space group P4/mmm (No. 123)
One atom of each set of equivalent atoms:
Ce: 0.0000 0.0000 0.0000
Pm: 0.5000 0.5000 0.2355
Pr: 0.0000 0.0000 0.5000

Properties
E (eV per atom): -4.99
Formation energy from the elements (eV per atom): 0.062
Crystal system: tetragonal

---

# 6
CePm7Pr12 | PBE | optimized geometry

a = 16.2656 Å, b = 16.2656 Å, c = 9.3229 Å
α = 90.00°, β = 90.00°, γ = 120.00°
Space group R-3 (No. 148, hexagonal axes)
One atom of each set of equivalent atoms:
Ce: 0.0000 0.0000 0.0000
Pm: 0.0000 0.0000 0.5000
Pm: 0.0147 0.8572 0.6994
Pr: 0.0286 0.7620 0.3447
Pr: 0.0706 0.5053 0.6603

Properties
E (eV per atom): -4.70
Formation energy from the elements (eV per atom): 0.125
Crystal system: trigonal

---

# 7
CePm2Pr | PBE | optimized geometry

a = 8.1928 Å, b = 8.1928 Å, c = 8.1928 Å
α = 90.00°, β = 90.00°, γ = 90.00°
Space group Fm-3m (No. 225)
One atom of each set of equivalent atoms:
Ce: 0.0000 0.0000 0.0000
Pm: 0.2500 0.2500 0.2500
Pr: 0.0000 0.0000 0.5000

Properties
E (eV per atom): -4.85
Formation energy from the elements (eV per atom): 0.204
Crystal system: cubic

---

# 8
CePmPr2 | PBE | optimized geometry

a = 3.6071 Å, b = 3.6071 Å, c = 10.4100 Å
α = 90.00°, β = 90.00°, γ = 90.00°
Space group P4/mmm (No. 123)
One atom of each set of equivalent atoms:
Ce: 0.0000 0.0000 0.0000
Pm: 0.0000 0.0000 0.5000
Pr: 0.5000 0.5000 0.2390

Properties
E (eV per atom): -4.99
Formation energy from the elements (eV per atom): 0.066
Crystal system: tetragonal

---

# 9
CePmPr | PBE | optimized geometry

a = 4.4866 Å, b = 4.4866 Å, c = 5.6802 Å
α = 90.00°, β = 90.00°, γ = 120.00°
Space group P3m1 (No. 156)
One atom of each set of equivalent atoms:
Ce: 0.0000 0.0000 0.0000
Pm: 0.6667 0.3333 0.1987
Pr: 0.3333 0.6667 0.6253

Properties
E (eV per atom): -4.53
Formation energy from the elements (eV per atom): 0.625
Crystal system: trigonal

---

# 10
CePmPr2Pt2 | PBE | optimized geometry

a = 7.0335 Å, b = 14.2507 Å, c = 6.9655 Å
α = 90.00°, β = 90.00°, γ = 90.00°
Space group Ibam (No. 72)
One atom of each set of equivalent atoms:
Ce: 0.0000 0.0000 0.2500
Pm: 0.0000 0.5000 0.2500
Pr: 0.2127 0.1923 0.0000
Pt: 0.2336 0.1091 0.5000

Properties
E (eV per atom): -6.10
Formation energy from the elements (eV per atom): -0.713
Crystal system: orthorhombic

---

# 11
CePmPr2Rh2 | PBE | optimized geometry

a = 7.0718 Å, b = 13.6302 Å, c = 6.9466 Å
α = 90.00°, β = 90.00°, γ = 90.00°
Space group Ibam (No. 72)
One atom of each set of equivalent atoms:
Ce: 0.0000 0.0000 0.2500
Pm: 0.0000 0.5000 0.2500
Pr: 0.2129 0.1945 0.0000
Rh: 0.2246 0.1011 0.5000

Properties
E (eV per atom): -6.28
Formation energy from the elements (eV per atom): -0.458
Crystal system: orthorhombic

---

# 12
CePm4Pr3S8 | PBE | optimized geometry

a = 8.1106 Å, b = 8.1106 Å, c = 19.9303 Å
α = 90.00°, β = 90.00°, γ = 120.00°
Space group R-3m (No. 166, hexagonal axes)
One atom of each set of equivalent atoms:
Ce: 0.0000 0.0000 0.0000
Pm: 0.0000 0.0000 0.5000
Pm: 0.0000 0.5000 0.5000
Pr: 0.0000 0.5000 0.0000
S: 0.0000 0.0000 0.2478
S: 0.0039 0.5019 0.7511

Properties
E (eV per atom): -6.55
Raw formation energy (eV per atom): -2.032
Crystal system: trigonal

---

Number 1: magnetization 2.88 Bohr magnetons per cell, ρ 6.9 g cm⁻³. Number 2: magnetization 1.91 Bohr magnetons per cell, ρ 6.4 g cm⁻³. Number 3: magnetization 0.00 Bohr magnetons per cell, ρ 6.7 g cm⁻³. Number 4: magnetization 0.59 Bohr magnetons per cell, ρ 7.0 g cm⁻³. Number 5: magnetization 0.53 Bohr magnetons per cell, ρ 7.1 g cm⁻³. Number 6: magnetization 3.38 Bohr magnetons per cell, ρ 6.6 g cm⁻³. Number 7: magnetization 9.07 Bohr magnetons per cell, ρ 6.9 g cm⁻³. Number 8: magnetization 0.64 Bohr magnetons per cell, ρ 7.0 g cm⁻³. Number 9: magnetization 0.00 Bohr magnetons per cell, ρ 7.1 g cm⁻³. Number 10: magnetization 2.14 Bohr magnetons per cell, ρ 9.1 g cm⁻³. Number 11: magnetization 0.06 Bohr magnetons per cell, ρ 7.7 g cm⁻³. Number 12: magnetization 1.89 Bohr magnetons per cell, ρ 6.1 g cm⁻³.